[1]
A relaxed Y7HgSe5 crystal, computed with GGA-PBE.

a = 4.0660 Å, b = 13.4432 Å, c = 24.3618 Å
α = 90.00°, β = 90.00°, γ = 90.00°
Space group Cmcm (No. 63)
One atom of each set of equivalent atoms:
Y1 0.0000 0.0250 0.2500 [4 per cell]
Y2 0.0000 0.1384 0.5361 [8 per cell]
Y3 0.0000 0.3158 0.1773 [8 per cell]
Y4 0.0000 0.4074 0.6127 [8 per cell]
Hg1 0.0000 0.3023 0.7500 [4 per cell]
Se1 0.0000 0.0484 0.6411 [8 per cell]
Se2 0.0000 0.2251 0.0715 [8 per cell]
Se3 0.0000 0.5000 0.0000 [4 per cell]

Summary:
DOS(E_F) = 7.73 states/eV/f.u.
Magnetic moment = 0.0 Bohr magnetons per cell
VASP energy = -0.464 Ry/atom
ΔE_f (raw) = -1.467 eV per atom

[2]
A relaxed Li2W crystal, computed with GGA-PBE.

a = 2.5067 Å, b = 5.0098 Å, c = 14.7939 Å
α = 90.00°, β = 90.00°, γ = 90.00°
Space group Imma (No. 74)
One atom of each set of equivalent atoms:
Li1 0.0000 0.2500 0.0189 [4 per cell]
Li2 0.0000 0.2500 0.1780 [4 per cell]
W1 0.0000 0.2500 0.6667 [4 per cell]

Summary:
Formation energy = 0.530 eV per atom
DOS(E_F) = 1.27 states/eV/f.u.
Magnetic moment = 0.0 Bohr magnetons per cell
VASP energy = -0.372 Ry/atom
Polymorph energy (0 for the lowest one) = 146 meV/atom

[3]
A relaxed RbH2Pd crystal, computed with GGA-PBE.

a = 6.4063 Å, b = 6.4063 Å, c = 6.4063 Å
α = 90.00°, β = 90.00°, γ = 90.00°
Space group Fm-3m (No. 225)
One atom of each set of equivalent atoms:
Rb1 0.0000 0.0000 0.0000 [4 per cell]
H1 0.2500 0.2500 0.2500 [8 per cell]
Pd1 0.0000 0.0000 0.5000 [4 per cell]

Summary:
DOS(E_F) = 1.94 states/eV/f.u.
Magnetic moment = 3.2 Bohr magnetons per cell
VASP energy = -0.178 Ry/atom
Polymorph energy (0 for the lowest one) = 1072 meV/atom